Record 1
# NaCoOs2F

A relaxed NaCoOs2F crystal (PBE+U, Alexandria).

The space group is P4/mmm (No. 123) and the conventional cell measures 4.2445, 4.2445 and 4.5164 Å, with angles of 90.00, 90.00 and 90.00 degrees. The asymmetric unit holds Na at (0.0000, 0.0000, 0.0000), Co at (0.5000, 0.5000, 0.0000), Os at (0.0000, 0.5000, 0.5000) and F at (0.5000, 0.5000, 0.5000).

The value obtained for the total energy is -4.72 eV per atom. For the volume, the calculation gives 81 Å³/f.u. The value obtained for the total moment is 4.93 Bohr magnetons per cell.


Record 2
# NaCo2PbF8

A relaxed NaCo2PbF8 crystal (PBE+U, Alexandria).

The space group is P-3 (No. 147) and the conventional cell measures 5.9909, 5.9909 and 7.0623 Å, with angles of 90.00, 90.00 and 120.00 degrees. The asymmetric unit holds Na at (0.0000, 0.0000, 0.0000), Co at (0.3333, 0.6667, 0.7023), Pb at (0.0000, 0.0000, 0.5000), F at (0.1568, 0.8387, 0.7710) and F at (0.3333, 0.6667, 0.4413).

The value obtained for the total energy is -4.64 eV per atom. For the volume, the calculation gives 220 Å³/f.u. The value obtained for the total moment is 7.00 Bohr magnetons per cell.


Record 3
# NaCoPd2F8

A relaxed NaCoPd2F8 crystal (PBE+U, Alexandria).

The space group is I-4m2 (No. 119) and the conventional cell measures 6.9292, 6.9292 and 7.3354 Å, with angles of 90.00, 90.00 and 90.00 degrees. The asymmetric unit holds Na at (0.0000, 0.0000, 0.0000), Co at (0.0000, 0.5000, 0.2500), Pd at (0.0000, 0.0000, 0.5000), Pd at (0.0000, 0.5000, 0.7500), F at (0.0000, 0.2104, 0.2974) and F at (0.0000, 0.3218, 0.9694).

The value obtained for the total energy is -4.07 eV per atom. For the volume, the calculation gives 176 Å³/f.u. The value obtained for the total moment is 14.51 Bohr magnetons per cell.


Record 4
# Na2CoPdF6

A relaxed Na2CoPdF6 crystal (PBE+U, Alexandria).

The space group is R3 (No. 146, hexagonal axes) and the conventional cell measures 5.6649, 5.6649 and 14.5022 Å, with angles of 90.00, 90.00 and 120.00 degrees. The asymmetric unit holds Na at (0.0000, 0.0000, 0.0000), Na at (0.0000, 0.0000, 0.4986), Co at (0.0000, 0.0000, 0.7143), Pd at (0.0000, 0.0000, 0.2141), F at (0.0004, 0.3842, 0.4524) and F at (0.0658, 0.7031, 0.2913).

The value obtained for the total energy is -4.48 eV per atom. For the volume, the calculation gives 134 Å³/f.u. The value obtained for the total moment is 15.00 Bohr magnetons per cell.


Record 5
# Na2PmCoF8

A relaxed Na2PmCoF8 crystal (PBE+U, Alexandria).

The space group is P2/m (No. 10) and the conventional cell measures 4.5119, 6.9936 and 5.3884 Å, with angles of 90.00, 91.76 and 90.00 degrees. The asymmetric unit holds Na at (0.0000, 0.2358, 0.0000), Pm at (0.5000, 0.5000, 0.5000), Co at (0.5000, 0.0000, 0.5000), F at (0.0965, 0.5000, 0.2478), F at (0.1776, 0.0000, 0.2845) and F at (0.3606, 0.2218, 0.7067).

The value obtained for the total energy is -5.20 eV per atom. For the volume, the calculation gives 170 Å³/f.u. The value obtained for the total moment is 3.97 Bohr magnetons per cell.


Record 6
# NaPmCo2F8

A relaxed NaPmCo2F8 crystal (PBE+U, Alexandria).

The space group is P-1 (No. 2) and the conventional cell measures 5.0542, 5.0809 and 6.7356 Å, with angles of 89.93, 89.93 and 89.24 degrees. The asymmetric unit holds Na at (0.0000, 0.0000, 0.0000), Pm at (0.0000, 0.0000, 0.5000), Co at (0.5001, 0.5001, 0.2353), F at (0.2151, 0.7839, 0.2551), F at (0.2150, 0.7838, 0.7449), F at (0.3199, 0.3183, 0.5002) and F at (0.3202, 0.3196, 0.0003).

The value obtained for the total energy is -5.45 eV per atom. For the volume, the calculation gives 173 Å³/f.u. The value obtained for the total moment is 6.00 Bohr magnetons per cell.


Record 7
# Na2PmCo3F12

A relaxed Na2PmCo3F12 crystal (PBE+U, Alexandria).

The space group is R-3m (No. 166, hexagonal axes) and the conventional cell measures 7.4961, 7.4961 and 15.8845 Å, with angles of 90.00, 90.00 and 120.00 degrees. The asymmetric unit holds Na at (0.0000, 0.0000, 0.1404), Pm at (0.0000, 0.0000, 0.5000), Co at (0.0000, 0.5000, 0.0000), F at (0.0341, 0.5171, 0.8767) and F at (0.0895, 0.5448, 0.3029).

The value obtained for the total energy is -5.12 eV per atom. For the volume, the calculation gives 258 Å³/f.u. The value obtained for the total moment is 30.00 Bohr magnetons per cell.


Record 8
# NaPrCoF6

A relaxed NaPrCoF6 crystal (PBE+U, Alexandria).

The space group is P-31c (No. 163) and the conventional cell measures 5.8578, 5.8578 and 9.2815 Å, with angles of 90.00, 90.00 and 120.00 degrees. The asymmetric unit holds Na at (0.0000, 0.0000, 0.0000), Pr at (0.3333, 0.6667, 0.2500), Co at (0.3333, 0.6667, 0.7500) and F at (0.0333, 0.3665, 0.6321).

The value obtained for the total energy is -5.55 eV per atom. For the volume, the calculation gives 138 Å³/f.u. The value obtained for the total moment is 6.00 Bohr magnetons per cell.